Here is an optimized crystal structure of CeHoCu4 from Alexandria. Energies are from PBE.

Cell and atoms, written as extended XYZ:
```
12
Lattice="4.3143 0.0000 0.0000 0.0000 6.8188 0.0000 0.0000 0.0000 7.3945" Properties=species:S:1:pos:R:3 pbc="T T T"
Ce 0.0000 0.0000 0.0000
Ce 2.1572 3.4094 3.6972
Ho 0.0000 3.4094 0.5792
Ho 2.1572 0.0000 4.2765
Cu 0.0000 1.3694 2.7869
Cu 0.0000 2.0320 5.2268
Cu 0.0000 4.7868 5.2268
Cu 0.0000 5.4494 2.7869
Cu 2.1572 1.3774 1.5295
Cu 2.1572 2.0400 6.4841
Cu 2.1572 4.7788 6.4841
Cu 2.1572 5.4414 1.5295
```

* space-group type: Imm2 (44)
* ρ: 8.54 g/cm3
* ΔE_f: -209 meV per atom
* energy above the most stable polymorph in this dataset: 0 meV per atom
* energy: -28.15 eV per formula unit